Below is a relaxed structure of K5Mg3, with properties calculated at the PBE level.

Results
- SG: Cmmm, No. 65
- Formation enthalpy at 0 K: 0.201 eV per atom
- Mass density: 1195 kg/m3
- DOS(E_F): 4.33 states/eV/cell

abc: 8.1721 8.1721 5.5935
angles: 90.00 90.00 87.08
Sites, in units of the cell vectors:
K: 0.0000 0.0000 0.0000
K: 0.0000 0.5000 0.0000
K: 0.5000 0.0000 0.0000
K: 0.2596 0.2596 0.5000
K: 0.7404 0.7404 0.5000
Mg: 0.5000 0.5000 0.0000
Mg: 0.7108 0.2892 0.5000
Mg: 0.2892 0.7108 0.5000